A geometry-optimized PuPd2Au3 structure. Source: the Alexandria database, functional PBE.

Cell: 7.9062 7.9062 5.6296 Å, 106.21 106.21 124.71°
With the nearest neighbours (Å) after each atom.
Fractional positions:
Au 0.6679 0.8092 0.5139  4 Au 2.83-3.08, 2 Pd 2.83-2.91, 2 Pu 3.01-3.11
Au 0.8092 0.6679 0.0139  4 Au 2.83-3.08, 2 Pd 2.83-2.91, 2 Pu 3.01-3.11
Au 0.3855 0.6145 0.7500  4 Pd 2.81-2.95, 4 Au 2.83-2.98, 2 Pu 2.99
Au 0.1908 0.3321 0.9861  4 Au 2.83-3.08, 2 Pd 2.83-2.91, 2 Pu 3.01-3.11
Au 0.3321 0.1908 0.4861  4 Au 2.83-3.08, 2 Pd 2.83-2.91, 2 Pu 3.01-3.11
Au 0.6145 0.3855 0.2500  4 Pd 2.81-2.95, 4 Au 2.83-2.98, 2 Pu 2.99
Pu 0.1141 0.8859 0.7500  4 Pd 2.82-2.94, 6 Au 2.99-3.11
Pu 0.8859 0.1141 0.2500  4 Pd 2.82-2.94, 6 Au 2.99-3.11
Pd 0.9245 0.4262 0.7080  4 Pd 2.77-2.99, 4 Au 2.81-2.95, 2 Pu 2.82-2.94
Pd 0.0755 0.5738 0.2920  4 Pd 2.77-2.99, 4 Au 2.81-2.95, 2 Pu 2.82-2.94
Pd 0.4262 0.9245 0.2080  4 Pd 2.77-2.99, 4 Au 2.81-2.95, 2 Pu 2.82-2.94
Pd 0.5738 0.0755 0.7920  4 Pd 2.77-2.99, 4 Au 2.81-2.95, 2 Pu 2.82-2.94

Values from the calculation:
- total DFT energy (no corrections) (eV per atom) = -6.01
- energy of formation (eV per atom) = -0.25